1.
The following is a PBE+U calculation of NdPbW2O8 after structural relaxation, from Alexandria.

Unit cell a=5.485 b=5.485 c=9.412 alpha=90.00 beta=90.00 gamma=120.00
Positions (direct):
Nd 0.000 0.000 0.000
Pb 0.000 0.000 0.500
W 0.333 0.667 0.230
W 0.667 0.333 0.770
O 0.035 0.349 0.160
O 0.314 0.965 0.160
O 0.333 0.667 0.424
O 0.349 0.314 0.840
O 0.651 0.686 0.160
O 0.667 0.333 0.576
O 0.686 0.035 0.840
O 0.965 0.651 0.840

Output
* electronic total energy: -7.18 eV per atom
* total magnetization: 0.085 μB per atom
* density of states at the Fermi level: 0.73 states/eV per cell
* crystal system: trigonal

2.
The following is a PBE+U calculation of NdPb2WO6 after structural relaxation, from Alexandria.

Unit cell a=5.792 b=6.240 c=10.356 alpha=90.00 beta=123.19 gamma=90.00
Positions (direct):
Nd 0.000 0.000 0.000
Nd 0.000 0.500 0.500
Pb 0.234 0.048 0.727
Pb 0.234 0.452 0.227
Pb 0.766 0.548 0.773
Pb 0.766 0.952 0.273
W 0.500 0.000 0.500
W 0.500 0.500 0.000
O 0.178 0.170 0.481
O 0.178 0.330 0.981
O 0.283 0.739 0.460
O 0.283 0.761 0.960
O 0.345 0.036 0.267
O 0.345 0.464 0.767
O 0.655 0.536 0.233
O 0.655 0.964 0.733
O 0.717 0.239 0.040
O 0.717 0.261 0.540
O 0.822 0.670 0.019
O 0.822 0.830 0.519

Output
* electronic total energy: -6.93 eV per atom
* total magnetization: 0.100 μB per atom
* density of states at the Fermi level: 0.00 states/eV per cell
* crystal system: monoclinic

3.
The following is a PBE+U calculation of Nd2PbWO8 after structural relaxation, from Alexandria.

Unit cell a=5.078 b=5.078 c=7.057 alpha=90.69 beta=90.69 gamma=92.89
Positions (direct):
Nd 0.031 0.031 0.259
Nd 0.969 0.969 0.741
Pb 0.500 0.500 0.000
W 0.500 0.500 0.500
O 0.208 0.208 0.981
O 0.224 0.224 0.526
O 0.300 0.656 0.290
O 0.344 0.700 0.710
O 0.656 0.300 0.290
O 0.700 0.344 0.710
O 0.776 0.776 0.474
O 0.792 0.792 0.019

Output
* electronic total energy: -7.27 eV per atom
* total magnetization: 0.000 μB per atom
* crystal system: monoclinic